(1)
DFT (PBE) results for crystalline VGa2Co at its relaxed geometry.

ΔH_f (0 K) = 0.179 eV/atom
ρ = 7.16 g/cm³
energy = -86.2 eV per cell

abc: 6.710 6.710 5.138
angles: 90.00 90.00 90.00
Space group I-42d (No. 122)
Asymmetric unit:
V 0.000 0.000 0.000 x4
Ga 0.224 0.750 0.625 x8
Co 0.000 0.000 0.500 x4


(2)
DFT (PBE) results for crystalline Np2Al2Si4Ir at its relaxed geometry.

ρ = 8.96 g/cm³
energy = -134.1 eV per cell
ΔE_f (raw) = -0.350 eV per atom

abc: 6.050 6.050 8.431
angles: 90.00 90.00 90.00
Space group I4/mmm (No. 139)
Asymmetric unit:
Np 0.000 0.500 0.250 x4
Al 0.000 0.000 0.210 x4
Si 0.217 0.217 0.000 x8
Ir 0.000 0.000 0.500 x2